Entry 1:
A relaxed structure of NaVN2F. Source: Alexandria, functional PBE with a Hubbard U. Values from VASP.

- Crystal system: tetragonal
- Mass density: 3213 kg/m3
- Relative energy among the computed polymorphs: 10.155 eV/f.u.

```
&SYSTEM
  ibrav = 0, nat = 5, ntyp = 4
/
ATOMIC_SPECIES
N 14.01 N.upf
V 50.94 V.upf
Na 22.99 Na.upf
F 19.00 F.upf
ATOMIC_POSITIONS crystal
N 0.500 0.000 0.000
N 0.000 0.500 0.000
V 0.500 0.500 0.500
Na 0.000 0.000 0.000
F 0.000 0.000 0.500
CELL_PARAMETERS angstrom
-2.412 0.897 -3.147
2.909 -1.204 -2.572
-1.395 -3.514 0.068
```

***

Entry 2:
A relaxed structure of NaVN2F. Source: Alexandria, functional PBE with a Hubbard U. Values from VASP.

- Crystal system: tetragonal
- Mass density: 3368 kg/m3
- Relative energy among the computed polymorphs: 0.000 eV/f.u.

```
&SYSTEM
  ibrav = 0, nat = 5, ntyp = 4
/
ATOMIC_SPECIES
N 14.01 N.upf
F 19.00 F.upf
Na 22.99 Na.upf
V 50.94 V.upf
ATOMIC_POSITIONS crystal
N 0.000 0.500 0.000
N 0.500 0.000 0.000
F 0.000 0.000 0.500
Na 0.500 0.500 0.500
V 0.000 0.000 0.000
CELL_PARAMETERS angstrom
3.786 0.000 0.000
0.000 3.786 0.000
0.000 0.000 4.161
```

***

Entry 3:
A relaxed structure of NaWNF2. Source: Alexandria, functional PBE with a Hubbard U. Values from VASP.

- Crystal system: tetragonal
- Mass density: 6565 kg/m3
- Relative energy among the computed polymorphs: 6.353 eV/f.u.

```
&SYSTEM
  ibrav = 0, nat = 5, ntyp = 4
/
ATOMIC_SPECIES
N 14.01 N.upf
F 19.00 F.upf
W 183.84 W.upf
Na 22.99 Na.upf
ATOMIC_POSITIONS crystal
N 0.000 0.000 0.500
F 0.000 0.500 0.000
F 0.500 0.000 0.000
W 0.500 0.500 0.500
Na 0.000 0.000 0.000
CELL_PARAMETERS angstrom
-1.815 -1.004 -3.181
2.494 -2.812 -0.536
-2.648 -2.805 2.396
```

***

Entry 4:
A relaxed structure of NaWNF2. Source: Alexandria, functional PBE with a Hubbard U. Values from VASP.

- Crystal system: tetragonal
- Mass density: 5824 kg/m3
- Relative energy among the computed polymorphs: 0.000 eV/f.u.

```
&SYSTEM
  ibrav = 0, nat = 5, ntyp = 4
/
ATOMIC_SPECIES
Na 22.99 Na.upf
F 19.00 F.upf
N 14.01 N.upf
W 183.84 W.upf
ATOMIC_POSITIONS crystal
Na 0.500 0.500 0.500
F 0.500 0.000 0.000
F 0.000 0.500 0.000
N 0.000 0.000 0.500
W 0.000 0.000 0.000
CELL_PARAMETERS angstrom
-0.717 4.072 -1.132
-1.623 -1.325 -3.739
-3.657 -0.185 1.652
```